1.
Density functional theory data (GGA-PBE) for a relaxed NaTl2HgCl6 crystal.

Structure (CIF):
```
data_NaTl2HgCl6
_space_group_name_H-M_alt 'P 1 21/c 1'
_space_group_IT_number 14
_space_group_name_Hall '-P 2ybc'
_cell_length_a 7.017
_cell_length_b 7.648
_cell_length_c 12.524
_cell_angle_alpha 90.00
_cell_angle_beta 123.15
_cell_angle_gamma 90.00
loop_
_atom_site_label
_atom_site_fract_x
_atom_site_fract_y
_atom_site_fract_z
Na1 0.000 0.000 0.000
Tl1 0.282 0.088 0.753
Hg1 0.500 0.000 0.500
Cl1 0.104 0.061 0.252
Cl2 0.257 0.675 0.061
Cl3 0.395 0.194 0.073
```

Values from the calculation:
Total energy: -2.65 eV per atom
ΔE_f (raw): -9.11 eV/f.u.

2.
Density functional theory data (GGA-PBE) for a relaxed SrNpZn2O6 crystal.

Structure (CIF):
```
data_SrNpZn2O6
_space_group_name_H-M_alt 'C 1 2/c 1'
_space_group_IT_number 15
_space_group_name_Hall '-C 2yc'
_cell_length_a 11.336
_cell_length_b 9.905
_cell_length_c 6.429
_cell_angle_alpha 90.00
_cell_angle_beta 115.07
_cell_angle_gamma 90.00
loop_
_atom_site_label
_atom_site_fract_x
_atom_site_fract_y
_atom_site_fract_z
Sr1 0.000 0.100 0.250
Np1 0.000 0.275 0.750
Zn1 0.203 0.437 0.136
O1 0.087 0.274 0.089
O2 0.112 0.110 0.701
O3 0.143 0.428 0.788
```

Values from the calculation:
Total energy: -6.94 eV per atom
ΔE_f (raw): -22.53 eV/f.u.

3.
Density functional theory data (GGA-PBE) for a relaxed AlSi2Tc crystal.

Structure (CIF):
```
data_AlSi2Tc
_space_group_name_H-M_alt 'I -4 2 d'
_space_group_IT_number 122
_space_group_name_Hall 'I -4 2bw'
_cell_length_a 5.818
_cell_length_b 5.818
_cell_length_c 10.314
_cell_angle_alpha 90.00
_cell_angle_beta 90.00
_cell_angle_gamma 90.00
loop_
_atom_site_label
_atom_site_fract_x
_atom_site_fract_y
_atom_site_fract_z
Al1 0.000 0.000 0.000
Si1 0.224 0.250 0.625
Tc1 0.000 0.000 0.500
```

Values from the calculation:
Total energy: -5.65 eV per atom
ΔE_f (raw): 2.34 eV/f.u.

4.
Density functional theory data (GGA-PBE) for a relaxed PuZnMo crystal.

Structure (CIF):
```
data_PuZnMo
_space_group_name_H-M_alt 'F m m m'
_space_group_IT_number 69
_space_group_name_Hall '-F 2 2'
_cell_length_a 5.805
_cell_length_b 8.819
_cell_length_c 8.971
_cell_angle_alpha 90.00
_cell_angle_beta 90.00
_cell_angle_gamma 90.00
loop_
_atom_site_label
_atom_site_fract_x
_atom_site_fract_y
_atom_site_fract_z
Pu1 0.000 0.000 0.167
Zn1 0.000 0.157 0.500
Mo1 0.250 0.250 0.250
```

Values from the calculation:
Total energy: -8.53 eV per atom

5.
Density functional theory data (GGA-PBE) for a relaxed KAcCdPb crystal.

Structure (CIF):
```
data_KAcCdPb
_space_group_name_H-M_alt 'F -4 3 m'
_space_group_IT_number 216
_space_group_name_Hall 'F -4 2 3'
_cell_length_a 8.256
_cell_length_b 8.256
_cell_length_c 8.256
_cell_angle_alpha 90.00
_cell_angle_beta 90.00
_cell_angle_gamma 90.00
loop_
_atom_site_label
_atom_site_fract_x
_atom_site_fract_y
_atom_site_fract_z
K1 0.000 0.000 0.000
Ac1 0.000 0.000 0.500
Cd1 0.250 0.250 0.250
Pb1 0.250 0.250 0.750
```

Values from the calculation:
Total energy: -2.70 eV per atom

6.
Density functional theory data (GGA-PBE) for a relaxed AcTbZnAu crystal.

Structure (CIF):
```
data_AcTbZnAu
_space_group_name_H-M_alt 'F -4 3 m'
_space_group_IT_number 216
_space_group_name_Hall 'F -4 2 3'
_cell_length_a 7.543
_cell_length_b 7.543
_cell_length_c 7.543
_cell_angle_alpha 90.00
_cell_angle_beta 90.00
_cell_angle_gamma 90.00
loop_
_atom_site_label
_atom_site_fract_x
_atom_site_fract_y
_atom_site_fract_z
Ac1 0.000 0.000 0.000
Tb1 0.000 0.000 0.500
Zn1 0.250 0.250 0.250
Au1 0.250 0.250 0.750
```

Values from the calculation:
Total energy: -3.81 eV per atom
Relative energy among the computed polymorphs: 48 meV per atom

7.
Density functional theory data (GGA-PBE) for a relaxed ZrCuNi crystal.

Structure (CIF):
```
data_ZrCuNi
_space_group_name_H-M_alt 'F -4 3 m'
_space_group_IT_number 216
_space_group_name_Hall 'F -4 2 3'
_cell_length_a 6.050
_cell_length_b 6.050
_cell_length_c 6.050
_cell_angle_alpha 90.00
_cell_angle_beta 90.00
_cell_angle_gamma 90.00
loop_
_atom_site_label
_atom_site_fract_x
_atom_site_fract_y
_atom_site_fract_z
Zr1 0.000 0.000 0.000
Cu1 0.250 0.250 0.750
Ni1 0.250 0.250 0.250
```

Values from the calculation:
Total energy: -5.77 eV per atom
Relative energy among the computed polymorphs: 664 meV per atom

8.
Density functional theory data (GGA-PBE) for a relaxed Ba6Sn2N crystal.

Structure (CIF):
```
data_Ba6Sn2N
_space_group_name_H-M_alt 'P 1 21/c 1'
_space_group_IT_number 14
_space_group_name_Hall '-P 2ybc'
_cell_length_a 8.013
_cell_length_b 8.065
_cell_length_c 13.913
_cell_angle_alpha 90.00
_cell_angle_beta 125.11
_cell_angle_gamma 90.00
loop_
_atom_site_label
_atom_site_fract_x
_atom_site_fract_y
_atom_site_fract_z
Ba1 0.169 0.010 0.237
Ba2 0.235 0.726 0.034
Ba3 0.308 0.203 0.036
Sn1 0.259 0.034 0.750
N1 0.000 0.000 0.000
```

Values from the calculation:
Total energy: -3.64 eV per atom
ΔE_f (raw): -4.92 eV/f.u.
Relative energy among the computed polymorphs: 0 meV per atom

> total energy of number 7 (ZrCuNi)?

-5.77 eV per atom

> What is the total energy in the sixth record?

-3.81 eV per atom

What did the seventh record say?
Density functional theory data (GGA-PBE) for a relaxed ZrCuNi crystal.

Structure (CIF):
```
data_ZrCuNi
_space_group_name_H-M_alt 'F -4 3 m'
_space_group_IT_number 216
_space_group_name_Hall 'F -4 2 3'
_cell_length_a 6.050
_cell_length_b 6.050
_cell_length_c 6.050
_cell_angle_alpha 90.00
_cell_angle_beta 90.00
_cell_angle_gamma 90.00
loop_
_atom_site_label
_atom_site_fract_x
_atom_site_fract_y
_atom_site_fract_z
Zr1 0.000 0.000 0.000
Cu1 0.250 0.250 0.750
Ni1 0.250 0.250 0.250
```

Values from the calculation:
Total energy: -5.77 eV per atom
Relative energy among the computed polymorphs: 664 meV per atom

> Which formula does entry 7 have?

ZrCuNi